Computed, not measured: crystalline Ac2UCoO6 at its relaxed geometry at the PBE+U level of DFT.

a b c (Å): 5.7643 6.1419 8.5144
angles (deg): 90.00 90.00 90.00
Last column: nearest neighbours and their distance in Å.
Fractional coordinates of all 20 atoms:
U 0.0000 0.7285 0.5000  6 O 2.11-2.16
U 0.5000 0.2715 0.0000  6 O 2.11-2.16
O 0.0000 0.7897 0.7503  1 Co 2.13, 1 U 2.16
O 0.7580 0.4709 0.5000  1 Co 2.08, 1 U 2.11
O 0.7568 0.9934 0.5000  1 Co 2.10, 1 U 2.15
O 0.2568 0.0066 0.0000  1 Co 2.10, 1 U 2.15
O 0.7420 0.5291 0.0000  1 Co 2.08, 1 U 2.11
O 0.0000 0.7897 0.2497  1 Co 2.13, 1 U 2.16
O 0.7432 0.0066 0.0000  1 Co 2.10, 1 U 2.15
O 0.2580 0.5291 0.0000  1 Co 2.08, 1 U 2.11
O 0.5000 0.2103 0.2503  1 Co 2.13, 1 U 2.16
O 0.2432 0.9934 0.5000  1 Co 2.10, 1 U 2.15
O 0.2420 0.4709 0.5000  1 Co 2.08, 1 U 2.11
O 0.5000 0.2103 0.7497  1 Co 2.13, 1 U 2.16
Ac 0.0000 0.2144 0.7233  7 O 2.62-2.89
Ac 0.5000 0.7856 0.2233  7 O 2.62-2.89
Ac 0.5000 0.7856 0.7767  7 O 2.62-2.89
Ac 0.0000 0.2144 0.2767  7 O 2.62-2.89
Co 0.0000 0.7650 0.0000  6 O 2.08-2.13
Co 0.5000 0.2350 0.5000  6 O 2.08-2.13

Values from the calculation:
crystal system = orthorhombic
SG = Pmmn
magnetic moment = 3.02 μB/f.u.
calculated total energy = -8.128 eV/atom